No. 1
DFT (meta-GGA SCAN) results for a PBEsol-optimized structure of TlFe3.

Calculated values
* calculated formation energy: 11.43 kcal/mol of atoms
* SG: P-6m2, No. 187

Cell lengths 2.919, 2.919, 7.948 Å; angles 90.00, 90.00, 120.00 degrees
Positions (direct):
Tl (0.000, 0.000, 0.000)
Fe (0.000, 0.000, 0.500)
Fe (0.667, 0.333, 0.288)
Fe (0.667, 0.333, 0.712)

No. 2
DFT (meta-GGA SCAN) results for a PBEsol-optimized structure of Tl2Fe2W.

Calculated values
* calculated formation energy: 31.18 kcal/mol of atoms
* SG: I4/mmm, No. 139

Cell lengths 6.759, 6.759, 6.759 Å; angles 147.22, 147.22, 47.03 degrees
Positions (direct):
Tl (0.250, 0.750, 0.500)
Tl (0.750, 0.250, 0.500)
Fe (0.085, 0.085, 0.000)
Fe (0.915, 0.915, 0.000)
W (0.500, 0.500, 0.000)

calculated formation energy of number 1 (TlFe3)? 11.43 kcal/mol of atoms

Among the records above, which one has the lowest calculated formation energy? TlFe3

What is the calculated formation energy in the second record? 31.18 kcal/mol of atoms